VASP calculation (PBE) on an optimized crystal structure of HfTcF2.

Polymorph energy (0 for the lowest one) in kcal/mol of atoms: 15.79
Density in kg/m3: 9428
Raw formation energy in eV per atom: -0.48
Total moment in μB/cell: 2.3
N(E_F) in states/eV per atom: 0.969
Total energy in eV per atom: -6.49

abc: 4.2787 4.2787 4.2787
angles: 60.00 60.00 60.00
Last column: nearest neighbours and their distance in Å.
Sites, in units of the cell vectors:
Hf1 0.0000 0.0000 0.0000  8 F 2.62
Tc1 0.5000 0.5000 0.5000  8 F 2.62
F1 0.2500 0.2500 0.2500  4 Tc 2.62, 4 Hf 2.62
F2 0.7500 0.7500 0.7500  4 Tc 2.62, 4 Hf 2.62